No. 1
Below is an optimized crystal structure of Nb2Ge2O7, with properties calculated at the GGA-PBEsol level.

a b c (Å): 13.2832 13.2832 5.6906
angles (deg): 90.00 90.00 163.02
Element x y z (fractional)
1 Nb 0.0561 0.9439 0.5000
2 Nb 0.1625 0.8375 0.9761
3 Nb 0.8375 0.1625 0.4761
4 Nb 0.9439 0.0561 0.0000
5 Ge 0.2866 0.7134 0.9224
6 Ge 0.4336 0.5664 0.5594
7 Ge 0.5664 0.4336 0.0594
8 Ge 0.7134 0.2866 0.4224
9 O 0.0071 0.9929 0.7310
10 O 0.0927 0.9073 0.1579
11 O 0.1153 0.8847 0.6813
12 O 0.2033 0.7967 0.2533
13 O 0.2224 0.7776 0.7784
14 O 0.3512 0.6488 0.5062
15 O 0.4427 0.5573 0.9087
16 O 0.5573 0.4427 0.4087
17 O 0.6488 0.3512 0.0062
18 O 0.7776 0.2224 0.2784
19 O 0.7967 0.2033 0.7533
20 O 0.8847 0.1153 0.1813
21 O 0.9073 0.0927 0.6579
22 O 0.9929 0.0071 0.2310

- Magnetization: 0.000 μB per atom
- VASP energy: -89.81 eV/f.u.
- Formation energy without anion corrections: -1.959 eV per atom

---

No. 2
Below is an optimized crystal structure of NbGeP2, with properties calculated at the GGA-PBEsol level.

a b c (Å): 5.7361 5.7361 10.2431
angles (deg): 90.00 90.00 90.00
Element x y z (fractional)
1 Nb 0.0000 0.0000 0.0000
2 Nb 0.0000 0.5000 0.2500
3 Nb 0.5000 0.0000 0.7500
4 Nb 0.5000 0.5000 0.5000
5 Ge 0.0000 0.0000 0.5000
6 Ge 0.0000 0.5000 0.7500
7 Ge 0.5000 0.0000 0.2500
8 Ge 0.5000 0.5000 0.0000
9 P 0.2425 0.7500 0.6250
10 P 0.2500 0.2425 0.3750
11 P 0.2500 0.2575 0.8750
12 P 0.2575 0.7500 0.1250
13 P 0.7425 0.2500 0.1250
14 P 0.7500 0.7425 0.8750
15 P 0.7500 0.7575 0.3750
16 P 0.7575 0.2500 0.6250

- Magnetization: 0.000 μB per atom
- VASP energy: -27.02 eV/f.u.
- ΔH_f (0 K): 81.3 meV/atom

---

| no. | calculated volume (Å³/cell) |
| --- | --- |
| 1 | 293 |
| 2 | 337 |